Here is an optimized crystal structure of HfCoAs from the Open Quantum Materials Database. Energies are from PBE-GGA.

Results
E_tot (eV per atom): -7.814

Cell: 5.375 3.870 9.182 Å, 90.00 90.00 90.00°
Space group Pnma (No. 62)
Symmetry-distinct sites (fractional):
Hf 0.122 0.250 0.130 x4
Co 0.113 0.250 0.453 x4
As 0.222 0.750 0.343 x4

Here is an optimized crystal structure of Hf3CoAs from the Open Quantum Materials Database. Energies are from PBE-GGA.

Results
E_tot (eV per atom): -8.802

Cell: 3.463 11.771 9.563 Å, 90.00 90.00 90.00°
Space group Cmcm (No. 63)
Symmetry-distinct sites (fractional):
Hf 0.000 0.087 0.250 x4
Hf 0.000 0.343 0.084 x8
Co 0.000 0.254 0.750 x4
As 0.000 0.000 0.000 x4

Here is an optimized crystal structure of HfCo2As from the Open Quantum Materials Database. Energies are from PBE-GGA.

Results
E_tot (eV per atom): -7.256

Cell: 6.077 6.077 6.077 Å, 90.00 90.00 90.00°
Space group F-43m (No. 216)
Symmetry-distinct sites (fractional):
Hf 0.000 0.000 0.000 x4
Co 0.000 0.000 0.500 x4
Co 0.250 0.250 0.250 x4
As 0.250 0.250 0.750 x4

Here is an optimized crystal structure of HfCoAs from the Open Quantum Materials Database. Energies are from PBE-GGA.

Results
E_tot (eV per atom): -8.056

Cell: 6.455 3.819 7.250 Å, 90.00 90.00 90.00°
Space group Pnma (No. 62)
Symmetry-distinct sites (fractional):
Hf 0.020 0.250 0.186 x4
Co 0.139 0.250 0.564 x4
As 0.231 0.750 0.384 x4

Here is an optimized crystal structure of HfCoAs from the Open Quantum Materials Database. Energies are from PBE-GGA.

Results
E_tot (eV per atom): -7.978

Cell: 4.0413 4.0413 6.4914 Å, 90.00 90.00 120.00°
Space group P6_3mc (No. 186)
Symmetry-distinct sites (fractional):
Hf 0.0000 0.0000 0.0000 x2
Co 0.3333 0.6667 0.3402 x2
As 0.3333 0.6667 0.7380 x2

Here is an optimized crystal structure of Hf5CoAs3 from the Open Quantum Materials Database. Energies are from PBE-GGA.

Results
E_tot (eV per atom): -8.738

Cell: 17.388 3.676 10.435 Å, 90.00 90.00 90.00°
Space group Pnma (No. 62)
Symmetry-distinct sites (fractional):
Hf 0.022 0.250 0.120 x4
Hf 0.077 0.750 0.557 x4
Hf 0.132 0.250 0.815 x4
Hf 0.167 0.750 0.258 x4
Hf 0.224 0.250 0.484 x4
Co 0.092 0.250 0.368 x4
As 0.007 0.750 0.311 x4
As 0.119 0.750 0.009 x4
As 0.219 0.750 0.686 x4

Here is an optimized crystal structure of HfCoAs2 from the Open Quantum Materials Database. Energies are from PBE-GGA.

Results
E_tot (eV per atom): -6.566

Cell: 6.412 6.412 6.412 Å, 90.00 90.00 90.00°
Space group F-43m (No. 216)
Symmetry-distinct sites (fractional):
Hf 0.000 0.000 0.000 x4
Co 0.250 0.250 0.750 x4
As 0.000 0.000 0.500 x4
As 0.250 0.250 0.250 x4

Here is an optimized crystal structure of HfCoAs from the Open Quantum Materials Database. Energies are from PBE-GGA.

Results
E_tot (eV per atom): -7.975

Cell: 6.4063 6.4063 3.7849 Å, 90.00 90.00 120.00°
Space group P-62m (No. 189)
Symmetry-distinct sites (fractional):
Hf 0.0000 0.5856 0.0000 x3
Co 0.0000 0.2499 0.5000 x3
As 0.0000 0.0000 0.0000 x1
As 0.3333 0.6667 0.5000 x2

Here is an optimized crystal structure of HfCoAsIr from the Open Quantum Materials Database. Energies are from PBE-GGA.

Results
Energy above the most stable polymorph in this dataset (kcal/mol of atoms): 3.51
E_tot (eV per atom): -7.786

Cell: 6.330 6.330 6.330 Å, 90.00 90.00 90.00°
Space group F-43m (No. 216)
Symmetry-distinct sites (fractional):
Hf 0.000 0.000 0.000 x4
Co 0.000 0.000 0.500 x4
As 0.250 0.250 0.250 x4
Ir 0.250 0.250 0.750 x4

Here is an optimized crystal structure of HfCoAsIr from the Open Quantum Materials Database. Energies are from PBE-GGA.

Results
Energy above the most stable polymorph in this dataset (kcal/mol of atoms): 0.00
E_tot (eV per atom): -7.938

Cell: 6.297 6.297 6.297 Å, 90.00 90.00 90.00°
Space group F-43m (No. 216)
Symmetry-distinct sites (fractional):
Hf 0.000 0.000 0.000 x4
Co 0.250 0.250 0.750 x4
As 0.000 0.000 0.500 x4
Ir 0.250 0.250 0.250 x4

Here is an optimized crystal structure of Hf2CoAs2Ir from the Open Quantum Materials Database. Energies are from PBE-GGA.

Results
E_tot (eV per atom): -8.366

Cell: 7.334 4.216 14.011 Å, 90.00 99.72 90.00°
Space group Pm (No. 6)
Symmetry-distinct sites (fractional):
Hf 0.000 0.000 0.000 x1
Hf 0.006 0.500 0.491 x1
Hf 0.236 0.000 0.736 x1
Hf 0.246 0.500 0.241 x1
Hf 0.482 0.000 0.483 x1
Hf 0.499 0.500 0.999 x1
Hf 0.743 0.000 0.236 x1
Hf 0.756 0.500 0.738 x1
Co 0.059 0.500 0.675 x1
Co 0.060 0.000 0.182 x1
Co 0.306 0.500 0.424 x1
Co 0.557 0.500 0.181 x1
As 0.120 0.500 0.860 x1
As 0.126 0.000 0.362 x1
As 0.361 0.500 0.609 x1
As 0.372 0.000 0.124 x1
As 0.609 0.500 0.361 x1
As 0.621 0.000 0.865 x1
As 0.875 0.500 0.124 x1
As 0.880 0.000 0.615 x1
Ir 0.309 0.000 0.929 x1
Ir 0.557 0.000 0.674 x1
Ir 0.808 0.000 0.426 x1
Ir 0.811 0.500 0.931 x1

Here is an optimized crystal structure of LiHfCoAs from the Open Quantum Materials Database. Energies are from PBE-GGA.

Results
Energy above the most stable polymorph in this dataset (kcal/mol of atoms): 0.00
E_tot (eV per atom): -6.210

Cell: 6.054 6.054 6.054 Å, 90.00 90.00 90.00°
Space group F-43m (No. 216)
Symmetry-distinct sites (fractional):
Li 0.000 0.000 0.000 x4
Hf 0.250 0.250 0.750 x4
Co 0.000 0.000 0.500 x4
As 0.250 0.250 0.250 x4

Here is an optimized crystal structure of LiHfCoAs from the Open Quantum Materials Database. Energies are from PBE-GGA.

Results
Energy above the most stable polymorph in this dataset (kcal/mol of atoms): 5.03
E_tot (eV per atom): -5.992

Cell: 6.127 6.127 6.127 Å, 90.00 90.00 90.00°
Space group F-43m (No. 216)
Symmetry-distinct sites (fractional):
Li 0.000 0.000 0.000 x4
Hf 0.250 0.250 0.250 x4
Co 0.250 0.250 0.750 x4
As 0.000 0.000 0.500 x4

Here is an optimized crystal structure of LuHfCoAs from the Open Quantum Materials Database. Energies are from PBE-GGA.

Results
Energy above the most stable polymorph in this dataset (kcal/mol of atoms): 0.00
E_tot (eV per atom): -6.382

Cell: 6.578 6.578 6.578 Å, 90.00 90.00 90.00°
Space group F-43m (No. 216)
Symmetry-distinct sites (fractional):
Lu 0.000 0.000 0.000 x4
Hf 0.250 0.250 0.250 x4
Co 0.250 0.250 0.750 x4
As 0.000 0.000 0.500 x4

Here is an optimized crystal structure of HfCoMoAs from the Open Quantum Materials Database. Energies are from PBE-GGA.

Results
Energy above the most stable polymorph in this dataset (kcal/mol of atoms): 0.00
E_tot (eV per atom): -8.174

Cell: 6.230 6.230 6.230 Å, 90.00 90.00 90.00°
Space group F-43m (No. 216)
Symmetry-distinct sites (fractional):
Hf 0.000 0.000 0.000 x4
Co 0.250 0.250 0.750 x4
Mo 0.250 0.250 0.250 x4
As 0.000 0.000 0.500 x4

Here is an optimized crystal structure of Hf4CoNiAs2 from the Open Quantum Materials Database. Energies are from PBE-GGA.

Results
E_tot (eV per atom): -8.505

Cell: 5.291 3.671 7.527 Å, 90.00 109.46 90.00°
Space group Pm (No. 6)
Symmetry-distinct sites (fractional):
Hf 0.000 0.000 0.000 x1
Hf 0.065 0.500 0.640 x1
Hf 0.465 0.000 0.473 x1
Hf 0.533 0.500 0.127 x1
Co 0.136 0.500 0.260 x1
Ni 0.400 0.000 0.854 x1
As 0.634 0.500 0.767 x1
As 0.899 0.000 0.351 x1

| no. | total magnetic moment (μB/f.u.) |
| --- | --- |
| 1 | 0.02 |
| 2 | 0.00 |
| 3 | 1.83 |
| 4 | 0.00 |
| 5 | 0.01 |
| 6 | 0.00 |
| 7 | 0.53 |
| 8 | 0.00 |
| 9 | 1.75 |
| 10 | 1.31 |
| 11 | 0.00 |
| 12 | 0.03 |
| 13 | 0.92 |
| 14 | 1.28 |
| 15 | 0.00 |
| 16 | 0.01 |